[1]
## YRe2Rh (PBEsol)

Data for a relaxed structure of YRe2Rh.

Computed properties:
Fermi-level density of states in states/eV/cell: 5.67
DFT total energy in eV/atom: -9.967
Magnetic moment in μB per formula unit: 0.021

Lattice parameters (Å, degrees): 3.2484 3.2484 6.6409 90.00 90.00 90.00
With the nearest neighbours (Å) after each atom.
Fractional positions:
Y1 0.0000 0.0000 0.0000  8 Re 3.08, 4 Y 3.25, 2 Rh 3.32
Re1 0.5000 0.5000 0.3093  1 Re 2.53, 4 Rh 2.62
Re2 0.5000 0.5000 0.6907  1 Re 2.53, 4 Rh 2.62
Rh1 0.0000 0.0000 0.5000  8 Re 2.62

***

[2]
## Zn3ReRh (PBEsol)

Data for a relaxed structure of Zn3ReRh.

Computed properties:
Fermi-level density of states in states/eV/cell: 4.24
DFT total energy in eV/atom: -3.917
Magnetic moment in μB per formula unit: 3.199

Lattice parameters (Å, degrees): 4.5354 4.5354 4.5354 90.00 90.00 90.00
With the nearest neighbours (Å) after each atom.
Fractional positions:
Zn1 0.0000 0.0000 0.5000  2 Rh 2.27
Zn2 0.0000 0.5000 0.0000  2 Rh 2.27
Zn3 0.5000 0.0000 0.0000  2 Rh 2.27
Re1 0.5000 0.5000 0.5000  12 Zn 3.21
Rh1 0.0000 0.0000 0.0000  6 Zn 2.27

***

[3]
## ZnReRh2 (PBEsol)

Data for a relaxed structure of ZnReRh2.

Computed properties:
Fermi-level density of states in states/eV/cell: 8.91
DFT total energy in eV/atom: -7.843
Energy above the lowest structure with this stoichiometry in eV/atom: 0.2419
Magnetic moment in μB per formula unit: 0.306

Lattice parameters (Å, degrees): 3.8263 3.8263 7.4165 90.00 90.00 90.00
With the nearest neighbours (Å) after each atom.
Fractional positions:
Zn1 0.0000 0.0000 0.0000  8 Rh 2.66, 4 Re 2.71
Zn2 0.5000 0.5000 0.5000  8 Rh 2.66, 4 Re 2.71
Re1 0.0000 0.0000 0.5000  8 Rh 2.66, 4 Zn 2.71
Re2 0.5000 0.5000 0.0000  8 Rh 2.66, 4 Zn 2.71
Rh1 0.0000 0.5000 0.2500  4 Re 2.66, 4 Zn 2.66, 4 Rh 2.71
Rh2 0.0000 0.5000 0.7500  4 Re 2.66, 4 Zn 2.66, 4 Rh 2.71
Rh3 0.5000 0.0000 0.2500  4 Re 2.66, 4 Zn 2.66, 4 Rh 2.71
Rh4 0.5000 0.0000 0.7500  4 Re 2.66, 4 Zn 2.66, 4 Rh 2.71

***

[4]
## ZnReRh2 (PBEsol)

Data for a relaxed structure of ZnReRh2.

Computed properties:
Fermi-level density of states in states/eV/cell: 2.30
DFT total energy in eV/atom: -8.085
Energy above the lowest structure with this stoichiometry in eV/atom: 0.0000
Magnetic moment in μB per formula unit: 0.001

Lattice parameters (Å, degrees): 2.7478 2.7478 7.1788 90.00 90.00 90.00
With the nearest neighbours (Å) after each atom.
Fractional positions:
Zn1 0.0000 0.0000 0.0000  8 Rh 2.64, 4 Zn 2.75
Re1 0.0000 0.0000 0.5000  8 Rh 2.65, 4 Re 2.75
Rh1 0.5000 0.5000 0.2488  4 Zn 2.64, 4 Re 2.65, 4 Rh 2.75
Rh2 0.5000 0.5000 0.7512  4 Zn 2.64, 4 Re 2.65, 4 Rh 2.75

***

[5]
## ZnReRh2 (PBEsol)

Data for a relaxed structure of ZnReRh2.

Computed properties:
Fermi-level density of states in states/eV/cell: 7.83
DFT total energy in eV/atom: -7.777
Energy above the lowest structure with this stoichiometry in eV/atom: 0.3078
Magnetic moment in μB per formula unit: 0.001

Lattice parameters (Å, degrees): 3.7007 3.7007 7.9433 90.00 90.00 90.00
With the nearest neighbours (Å) after each atom.
Fractional positions:
Zn1 0.0000 0.0000 0.0000  8 Rh 2.62-2.71, 4 Re 2.71
Zn2 0.5000 0.5000 0.5000  8 Rh 2.62-2.71, 4 Re 2.71
Re1 0.0000 0.5000 0.2500  8 Rh 2.62-2.71, 4 Zn 2.71
Re2 0.5000 0.0000 0.7500  8 Rh 2.62-2.71, 4 Zn 2.71
Rh1 0.0000 0.0000 0.5000  4 Zn 2.62, 4 Re 2.71, 4 Rh 2.71
Rh2 0.0000 0.5000 0.7500  4 Re 2.62, 4 Rh 2.71, 4 Zn 2.71
Rh3 0.5000 0.0000 0.2500  4 Re 2.62, 4 Rh 2.71, 4 Zn 2.71
Rh4 0.5000 0.5000 0.0000  4 Zn 2.62, 4 Re 2.71, 4 Rh 2.71

***

[6]
## Zn2ReRh (PBEsol)

Data for a relaxed structure of Zn2ReRh.

Computed properties:
Fermi-level density of states in states/eV/cell: 7.77
DFT total energy in eV/atom: -6.017
Energy above the lowest structure with this stoichiometry in eV/atom: 0.1387
Magnetic moment in μB per formula unit: 0.000

Lattice parameters (Å, degrees): 5.3658 7.6734 2.6565 90.00 90.00 90.00
With the nearest neighbours (Å) after each atom.
Fractional positions:
Zn1 0.2500 0.2500 0.0000  4 Zn 2.66-2.68, 4 Re 2.69, 4 Rh 2.69
Zn2 0.2500 0.7500 0.0000  4 Zn 2.66-2.68, 4 Re 2.69, 4 Rh 2.69
Zn3 0.7500 0.2500 0.0000  4 Zn 2.66-2.68, 4 Re 2.69, 4 Rh 2.69
Zn4 0.7500 0.7500 0.0000  4 Zn 2.66-2.68, 4 Re 2.69, 4 Rh 2.69
Re1 0.0000 0.0000 0.5000  2 Re 2.66, 2 Rh 2.68, 8 Zn 2.69
Re2 0.5000 0.5000 0.5000  2 Re 2.66, 2 Rh 2.68, 8 Zn 2.69
Rh1 0.0000 0.5000 0.5000  2 Rh 2.66, 2 Re 2.68, 8 Zn 2.69
Rh2 0.5000 0.0000 0.5000  2 Rh 2.66, 2 Re 2.68, 8 Zn 2.69

***

[7]
## ZnReRh2 (PBEsol)

Data for a relaxed structure of ZnReRh2.

Computed properties:
Fermi-level density of states in states/eV/cell: 3.23
DFT total energy in eV/atom: -7.611
Energy above the lowest structure with this stoichiometry in eV/atom: 0.4734
Magnetic moment in μB per formula unit: 0.000

Lattice parameters (Å, degrees): 2.7304 4.4430 4.5466 90.00 90.00 90.00
With the nearest neighbours (Å) after each atom.
Fractional positions:
Zn1 0.0000 0.0000 0.0000  4 Rh 2.61, 4 Re 2.65, 2 Zn 2.73
Re1 0.5000 0.0000 0.5000  4 Rh 2.61, 4 Zn 2.65, 2 Re 2.73
Rh1 0.0000 0.5000 0.5000  4 Re 2.61, 6 Rh 2.65-2.73
Rh2 0.5000 0.5000 0.0000  4 Zn 2.61, 6 Rh 2.65-2.73

***

[8]
## Zn2ReRh (PBEsol)

Data for a relaxed structure of Zn2ReRh.

Computed properties:
Fermi-level density of states in states/eV/cell: 4.98
DFT total energy in eV/atom: -6.132
Energy above the lowest structure with this stoichiometry in eV/atom: 0.0230
Magnetic moment in μB per formula unit: 0.000

Lattice parameters (Å, degrees): 8.8026 2.6956 4.6665 90.00 98.16 90.00
With the nearest neighbours (Å) after each atom.
Fractional positions:
Zn1 0.0000 0.0000 0.0000  5 Zn 2.52-2.70, 4 Re 2.69-2.70, 3 Rh 2.72-2.76
Zn2 0.2460 0.0000 0.7819  5 Zn 2.52-2.70, 4 Rh 2.69-2.70, 3 Re 2.72-2.77
Zn3 0.5000 0.5000 0.0000  5 Zn 2.52-2.70, 4 Re 2.69-2.70, 3 Rh 2.72-2.76
Zn4 0.7460 0.5000 0.7819  5 Zn 2.52-2.70, 4 Rh 2.69-2.70, 3 Re 2.72-2.77
Re1 0.4946 0.0000 0.4962  3 Rh 2.58-2.61, 7 Zn 2.69-2.77, 2 Re 2.70
Re2 0.9946 0.5000 0.4962  3 Rh 2.58-2.61, 7 Zn 2.69-2.77, 2 Re 2.70
Rh1 0.2504 0.5000 0.2847  3 Re 2.58-2.61, 7 Zn 2.69-2.76, 2 Rh 2.70
Rh2 0.7504 0.0000 0.2847  3 Re 2.58-2.61, 7 Zn 2.69-2.76, 2 Rh 2.70

***

[9]
## Zn2ReRh (PBEsol)

Data for a relaxed structure of Zn2ReRh.

Computed properties:
Fermi-level density of states in states/eV/cell: 6.37
DFT total energy in eV/atom: -6.155
Energy above the lowest structure with this stoichiometry in eV/atom: 0.0000
Magnetic moment in μB per formula unit: 0.000

Lattice parameters (Å, degrees): 2.7355 2.7355 25.4127 90.00 90.00 120.00
With the nearest neighbours (Å) after each atom.
Fractional positions:
Zn1 0.0000 0.0000 0.2473  3 Rh 2.59, 3 Re 2.70, 6 Zn 2.74
Zn2 0.0000 0.0000 0.7527  3 Rh 2.59, 3 Re 2.70, 6 Zn 2.74
Zn3 0.3333 0.6667 0.4193  3 Rh 2.59, 3 Re 2.70, 6 Zn 2.74
Zn4 0.3333 0.6667 0.9140  3 Rh 2.59, 3 Re 2.70, 6 Zn 2.74
Zn5 0.6667 0.3333 0.0860  3 Rh 2.59, 3 Re 2.70, 6 Zn 2.74
Zn6 0.6667 0.3333 0.5807  3 Rh 2.59, 3 Re 2.70, 6 Zn 2.74
Re1 0.0000 0.0000 0.0000  6 Zn 2.70, 6 Re 2.74
Re2 0.3333 0.6667 0.6667  6 Zn 2.70, 6 Re 2.74
Re3 0.6667 0.3333 0.3333  6 Zn 2.70, 6 Re 2.74
Rh1 0.0000 0.0000 0.5000  6 Zn 2.59, 6 Rh 2.74
Rh2 0.3333 0.6667 0.1667  6 Zn 2.59, 6 Rh 2.74
Rh3 0.6667 0.3333 0.8333  6 Zn 2.59, 6 Rh 2.74

***

[10]
## Zr2ReRh (PBEsol)

Data for a relaxed structure of Zr2ReRh.

Computed properties:
Fermi-level density of states in states/eV/cell: 4.26
DFT total energy in eV/atom: -10.474
Magnetic moment in μB per formula unit: 0.000

Lattice parameters (Å, degrees): 6.5038 6.5038 6.5038 90.00 90.00 90.00
With the nearest neighbours (Å) after each atom.
Fractional positions:
Zr1 0.2500 0.2500 0.2500  4 Re 2.82, 4 Rh 2.82
Zr2 0.2500 0.2500 0.7500  4 Re 2.82, 4 Rh 2.82
Zr3 0.2500 0.7500 0.2500  4 Re 2.82, 4 Rh 2.82
Zr4 0.2500 0.7500 0.7500  4 Re 2.82, 4 Rh 2.82
Zr5 0.7500 0.2500 0.2500  4 Re 2.82, 4 Rh 2.82
Zr6 0.7500 0.2500 0.7500  4 Re 2.82, 4 Rh 2.82
Zr7 0.7500 0.7500 0.2500  4 Re 2.82, 4 Rh 2.82
Zr8 0.7500 0.7500 0.7500  4 Re 2.82, 4 Rh 2.82
Re1 0.0000 0.0000 0.0000  8 Zr 2.82
Re2 0.0000 0.5000 0.5000  8 Zr 2.82
Re3 0.5000 0.0000 0.5000  8 Zr 2.82
Re4 0.5000 0.5000 0.0000  8 Zr 2.82
Rh1 0.0000 0.0000 0.5000  8 Zr 2.82
Rh2 0.0000 0.5000 0.0000  8 Zr 2.82
Rh3 0.5000 0.0000 0.0000  8 Zr 2.82
Rh4 0.5000 0.5000 0.5000  8 Zr 2.82

***

[11]
## Zr2ReRh (PBEsol)

Data for a relaxed structure of Zr2ReRh.

Computed properties:
Fermi-level density of states in states/eV/cell: 1.09
DFT total energy in eV/atom: -10.505
Magnetic moment in μB per formula unit: 0.000

Lattice parameters (Å, degrees): 3.2701 3.2701 6.4419 90.00 90.00 90.00
With the nearest neighbours (Å) after each atom.
Fractional positions:
Zr1 0.0000 0.0000 0.2467  4 Re 2.81, 4 Rh 2.83
Zr2 0.0000 0.0000 0.7533  4 Re 2.81, 4 Rh 2.83
Re1 0.5000 0.5000 0.0000  8 Zr 2.81
Rh1 0.5000 0.5000 0.5000  8 Zr 2.83

***

[12]
## Re3Ru (PBEsol)

Data for a relaxed structure of Re3Ru.

Computed properties:
Fermi-level density of states in states/eV/cell: 2.92
DFT total energy in eV/atom: -12.578
Magnetic moment in μB per formula unit: 0.000

Lattice parameters (Å, degrees): 2.7417 2.7417 8.7568 90.00 90.00 120.00
With the nearest neighbours (Å) after each atom.
Fractional positions:
Re1 0.0000 0.0000 0.0000  12 Re 2.73-2.74
Re2 0.3333 0.6667 0.2536  3 Ru 2.68, 9 Re 2.73-2.74
Re3 0.3333 0.6667 0.7464  3 Ru 2.68, 9 Re 2.73-2.74
Ru1 0.0000 0.0000 0.5000  6 Re 2.68, 6 Ru 2.74